CaYIn4 | PBE | relaxed

extended XYZ file:
```
6
Lattice="0.000 4.292 4.292 4.292 0.000 4.292 4.292 4.292 0.000" Properties=species:S:1:pos:R:3 pbc="T T T"
Ca 0.000 0.000 0.000
Y 2.146 2.146 2.146
In 5.364 3.220 3.220
In 3.220 5.364 3.220
In 3.220 3.220 5.364
In 5.364 5.364 5.364
```

DOS(E_F) in states/eV per atom: 0.67
Calculated formation energy in eV/atom: -0.3211



ZrFePb2 | PBE | relaxed

extended XYZ file:
```
16
Lattice="7.166 0.000 0.000 0.000 7.166 0.000 0.000 0.000 7.166" Properties=species:S:1:pos:R:3 pbc="T T T"
Zr 0.000 0.000 0.000
Zr 0.000 3.583 3.583
Zr 3.583 0.000 3.583
Zr 3.583 3.583 0.000
Fe 1.792 1.792 5.375
Fe 1.792 5.375 1.792
Fe 5.375 1.792 1.792
Fe 5.375 5.375 5.375
Pb 0.000 0.000 3.583
Pb 0.000 3.583 0.000
Pb 1.792 1.792 1.792
Pb 1.792 5.375 5.375
Pb 3.583 0.000 0.000
Pb 3.583 3.583 3.583
Pb 5.375 1.792 5.375
Pb 5.375 5.375 1.792
```

DOS(E_F) in states/eV per atom: 1.09
Calculated formation energy in eV/atom: 0.4789



Sr2ZrIn | PBE | relaxed

extended XYZ file:
```
4
Lattice="3.597 0.000 0.000 0.000 3.597 0.000 0.000 0.000 10.127" Properties=species:S:1:pos:R:3 pbc="T T T"
Sr 0.000 0.000 2.417
Sr 0.000 0.000 7.709
Zr 1.799 1.799 5.063
In 1.799 1.799 0.000
```

DOS(E_F) in states/eV per atom: 1.47
Calculated formation energy in eV/atom: 0.1807



Question: Look up the DOS(E_F) of the second one.
Answer: 1.09 states/eV per atom



Copy entry 1 word for word.
CaYIn4 | PBE | relaxed

extended XYZ file:
```
6
Lattice="0.000 4.292 4.292 4.292 0.000 4.292 4.292 4.292 0.000" Properties=species:S:1:pos:R:3 pbc="T T T"
Ca 0.000 0.000 0.000
Y 2.146 2.146 2.146
In 5.364 3.220 3.220
In 3.220 5.364 3.220
In 3.220 3.220 5.364
In 5.364 5.364 5.364
```

DOS(E_F) in states/eV per atom: 0.67
Calculated formation energy in eV/atom: -0.3211